# 1
Computed, not measured: an optimized crystal structure of TcIrAu2 at the PBE level of DFT.

## Properties
Its formation energy is 1.868 eV/f.u. For the magnetic moment, the calculation gives 0.37 μB/cell. For the energy relative to the lowest polymorph listed for this composition, the calculation gives 391.4 meV per atom. For the density of states at the Fermi level, the calculation gives 4.3 states/eV/f.u.

a b c (Å): 2.8216 2.8216 8.0736
angles (deg): 90.00 90.00 90.00
Last column: nearest neighbours and their distance in Å.
Space group P4/mmm (No. 123)
One atom of each set of equivalent atoms:
Tc 0.0000 0.0000 0.0000 (multiplicity 1)  4 Tc 2.82, 8 Au 2.83
Ir 0.0000 0.0000 0.5000 (multiplicity 1)  4 Ir 2.82, 8 Au 2.85
Au 0.5000 0.5000 0.2478 (multiplicity 2)  4 Au 2.82, 4 Tc 2.83, 4 Ir 2.85



# 2
Computed, not measured: an optimized crystal structure of Tc2Ir2Au at the PBE level of DFT.

## Properties
Its formation energy is 0.854 eV/f.u. For the magnetic moment, the calculation gives 0.00 μB/cell. For the energy relative to the lowest polymorph listed for this composition, the calculation gives 50.0 meV per atom. For the density of states at the Fermi level, the calculation gives 4.4 states/eV/f.u.

a b c (Å): 7.6463 7.6463 2.7383
angles (deg): 90.00 90.00 90.00
Last column: nearest neighbours and their distance in Å.
Space group P4/mbm (No. 127)
One atom of each set of equivalent atoms:
Tc 0.1213 0.3787 0.0000 (multiplicity 4)  6 Ir 2.62-2.67, 3 Tc 2.62-2.74
Ir 0.1672 0.6672 0.5000 (multiplicity 4)  6 Tc 2.62-2.67, 2 Ir 2.74
Au 0.0000 0.0000 0.0000 (multiplicity 2)  2 Au 2.74, 4 Tc 3.04